1.
# Sc2IBr3

A relaxed Sc2IBr3 crystal (GGA-PBE, Alexandria).

The value obtained for the uncorrected formation energy is -818 kJ/mol of formula units.

It has space group C2/m (No. 12), with a = 16.412 Å, b = 3.847 Å, c = 13.340 Å, α = 90.00°, β = 113.52° and γ = 90.00°. Symmetry generates all atoms from Sc at (0.243, 0.000, 0.101), Sc at (0.247, 0.500, 0.395), I at (0.128, 0.000, 0.234), Br at (0.126, 0.500, 0.975), Br at (0.129, 0.500, 0.493) and Br at (0.161, 0.000, 0.749).



2.
# NdMg9Zn2

A relaxed NdMg9Zn2 crystal (GGA-PBE, Alexandria).

As for the calculated formation energy: -79 meV per atom.

It has space group I4_1/amd (No. 141, origin choice 2), with a = 11.909 Å, b = 11.909 Å, c = 7.573 Å, α = 90.00°, β = 90.00° and γ = 90.00°. Symmetry generates all atoms from Nd at (0.000, 0.250, 0.375), Mg at (0.000, 0.250, 0.875), Mg at (0.122, 0.052, 0.682) and Zn at (0.000, 0.000, 0.000).



3.
# Cd2InBi5

A relaxed Cd2InBi5 crystal (GGA-PBE, Alexandria).

As for the calculated formation energy: 70 meV per atom.

It has space group Cm (No. 8), with a = 9.463 Å, b = 9.676 Å, c = 7.055 Å, α = 90.00°, β = 130.88° and γ = 90.00°. Symmetry generates all atoms from Cd at (0.000, 0.000, 0.000), Cd at (0.141, 0.500, 0.494), In at (0.000, 0.000, 0.476), Bi at (0.093, 0.500, 0.892), Bi at (0.279, 0.214, 0.435) and Bi at (0.324, 0.173, 0.015).



4.
# Al2AuCl

A relaxed Al2AuCl crystal (GGA-PBE, Alexandria).

For the distance to the lowest polymorph of the same formula, the calculation gives 702.2 meV/atom. The value obtained for the uncorrected formation energy is 79 kJ/mol of formula units.

It has space group F-43m (No. 216), with a = 6.858 Å, b = 6.858 Å, c = 6.858 Å, α = 90.00°, β = 90.00° and γ = 90.00°. Symmetry generates all atoms from Al at (0.000, 0.000, 0.000), Al at (0.250, 0.250, 0.250), Au at (0.250, 0.250, 0.750) and Cl at (0.000, 0.000, 0.500).



5.
# PaNi2Pd

A relaxed PaNi2Pd crystal (GGA-PBE, Alexandria).

For the distance to the lowest polymorph of the same formula, the calculation gives 0.0 meV/atom. As for the calculated formation energy: -386 meV per atom.

It has space group Cmcm (No. 63), with a = 3.650 Å, b = 15.754 Å, c = 4.579 Å, α = 90.00°, β = 90.00° and γ = 90.00°. Symmetry generates all atoms from Pa at (0.000, 0.113, 0.250), Ni at (0.000, 0.264, 0.750), Ni at (0.000, 0.500, 0.000) and Pd at (0.000, 0.355, 0.250).



6.
# TmTaCoOs

A relaxed TmTaCoOs crystal (GGA-PBE, Alexandria).

As for the calculated formation energy: -212 meV per atom.

It has space group F-43m (No. 216), with a = 6.450 Å, b = 6.450 Å, c = 6.450 Å, α = 90.00°, β = 90.00° and γ = 90.00°. Symmetry generates all atoms from Tm at (0.000, 0.000, 0.000), Ta at (0.000, 0.000, 0.500), Co at (0.250, 0.250, 0.750) and Os at (0.250, 0.250, 0.250).



7.
# SrPa2O6

A relaxed SrPa2O6 crystal (GGA-PBE, Alexandria).

For the distance to the lowest polymorph of the same formula, the calculation gives 0.0 meV/atom. The value obtained for the uncorrected formation energy is -3100 kJ/mol of formula units.

It has space group P-3m1 (No. 164), with a = 3.9489 Å, b = 3.9489 Å, c = 9.5063 Å, α = 90.00°, β = 90.00° and γ = 120.00°. Symmetry generates all atoms from Sr at (0.0000, 0.0000, 0.0000), Pa at (0.3333, 0.6667, 0.6643), O at (0.0000, 0.0000, 0.2890), O at (0.3333, 0.6667, 0.4235) and O at (0.3333, 0.6667, 0.8786).



8.
# ZnCo2Tc

A relaxed ZnCo2Tc crystal (GGA-PBE, Alexandria).

As for the calculated formation energy: 101 meV per atom.

It has space group Amm2 (No. 38), with a = 4.018 Å, b = 2.582 Å, c = 9.493 Å, α = 90.00°, β = 90.00° and γ = 90.00°. Symmetry generates all atoms from Zn at (0.000, 0.000, 0.000), Co at (0.000, 0.000, 0.738), Co at (0.500, 0.000, 0.597) and Tc at (0.500, 0.000, 0.340).



9.
# Na2SmBiTe4

A relaxed Na2SmBiTe4 crystal (GGA-PBE, Alexandria).

The value obtained for the uncorrected formation energy is -717 kJ/mol of formula units.

It has space group P2/m (No. 10), with a = 7.842 Å, b = 4.501 Å, c = 8.029 Å, α = 90.00°, β = 108.88° and γ = 90.00°. Symmetry generates all atoms from Na at (0.000, 0.000, 0.000), Na at (0.500, 0.500, 0.000), Sm at (0.000, 0.500, 0.500), Bi at (0.500, 0.000, 0.500), Te at (0.246, 0.000, 0.736) and Te at (0.254, 0.500, 0.263).



10.
# Cd6Sn2Hg3

A relaxed Cd6Sn2Hg3 crystal (GGA-PBE, Alexandria).

For the distance to the lowest polymorph of the same formula, the calculation gives 35.7 meV/atom. As for the calculated formation energy: 86 meV per atom.

It has space group R-3m (No. 166, hexagonal axes), with a = 4.0657 Å, b = 4.0657 Å, c = 62.2603 Å, α = 90.00°, β = 90.00° and γ = 120.00°. Symmetry generates all atoms from Cd at (0.0000, 0.0000, 0.0902), Cd at (0.0000, 0.0000, 0.1816), Cd at (0.0000, 0.0000, 0.3638), Sn at (0.0000, 0.0000, 0.4541), Hg at (0.0000, 0.0000, 0.0000) and Hg at (0.0000, 0.0000, 0.2729).



11.
# Rb2AuCI6

A relaxed Rb2AuCI6 crystal (GGA-PBE, Alexandria).

The value obtained for the uncorrected formation energy is -103 kJ/mol of formula units.

It has space group I4/mmm (No. 139), with a = 7.944 Å, b = 7.944 Å, c = 11.085 Å, α = 90.00°, β = 90.00° and γ = 90.00°. Symmetry generates all atoms from Rb at (0.000, 0.500, 0.250), Au at (0.000, 0.000, 0.000), C at (0.000, 0.000, 0.500), I at (0.000, 0.000, 0.260) and I at (0.240, 0.240, 0.500).



12.
# Ti2Co2Sb

A relaxed Ti2Co2Sb crystal (GGA-PBE, Alexandria).

For the distance to the lowest polymorph of the same formula, the calculation gives 172.4 meV/atom. The value obtained for the uncorrected formation energy is -91 kJ/mol of formula units.

It has space group I4/mmm (No. 139), with a = 4.029 Å, b = 4.029 Å, c = 9.822 Å, α = 90.00°, β = 90.00° and γ = 90.00°. Symmetry generates all atoms from Ti at (0.000, 0.500, 0.250), Co at (0.000, 0.000, 0.115) and Sb at (0.000, 0.000, 0.500).



13.
# KBaHgP

A relaxed KBaHgP crystal (GGA-PBE, Alexandria).

As for the calculated formation energy: -514 meV per atom.

It has space group F-43m (No. 216), with a = 7.974 Å, b = 7.974 Å, c = 7.974 Å, α = 90.00°, β = 90.00° and γ = 90.00°. Symmetry generates all atoms from K at (0.000, 0.000, 0.000), Ba at (0.000, 0.000, 0.500), Hg at (0.250, 0.250, 0.250) and P at (0.250, 0.250, 0.750).



14.
# Sc3Be2Pt5

A relaxed Sc3Be2Pt5 crystal (GGA-PBE, Alexandria).

As for the calculated formation energy: -1100 meV per atom.

It has space group P4/mbm (No. 127), with a = 9.320 Å, b = 9.320 Å, c = 3.552 Å, α = 90.00°, β = 90.00° and γ = 90.00°. Symmetry generates all atoms from Sc at (0.000, 0.000, 0.000), Sc at (0.175, 0.325, 0.000), Be at (0.121, 0.621, 0.000), Pt at (0.000, 0.500, 0.500) and Pt at (0.072, 0.786, 0.500).



15.
# BeAg2Pb

A relaxed BeAg2Pb crystal (GGA-PBE, Alexandria).

For the distance to the lowest polymorph of the same formula, the calculation gives 92.1 meV/atom. As for the calculated formation energy: 304 meV per atom.

It has space group Immm (No. 71), with a = 3.090 Å, b = 5.074 Å, c = 9.646 Å, α = 90.00°, β = 90.00° and γ = 90.00°. Symmetry generates all atoms from Be at (0.000, 0.000, 0.000), Ag at (0.000, 0.500, 0.298) and Pb at (0.000, 0.000, 0.500).



16.
# CsHfRh2

A relaxed CsHfRh2 crystal (GGA-PBE, Alexandria).

For the distance to the lowest polymorph of the same formula, the calculation gives 129.8 meV/atom. As for the calculated formation energy: 631 meV per atom.

It has space group Fm-3m (No. 225), with a = 6.937 Å, b = 6.937 Å, c = 6.937 Å, α = 90.00°, β = 90.00° and γ = 90.00°. Symmetry generates all atoms from Cs at (0.000, 0.000, 0.000), Hf at (0.000, 0.000, 0.500) and Rh at (0.250, 0.250, 0.250).



17.
# Th2RuCl2

A relaxed Th2RuCl2 crystal (GGA-PBE, Alexandria).

The value obtained for the uncorrected formation energy is -647 kJ/mol of formula units.

It has space group R-3m (No. 166, hexagonal axes), with a = 4.0739 Å, b = 4.0739 Å, c = 31.7217 Å, α = 90.00°, β = 90.00° and γ = 120.00°. Symmetry generates all atoms from Th at (0.0000, 0.0000, 0.1168), Ru at (0.0000, 0.0000, 0.5000) and Cl at (0.0000, 0.0000, 0.2766).



18.
# TiTcSe

A relaxed TiTcSe crystal (GGA-PBE, Alexandria).

The value obtained for the uncorrected formation energy is -74 kJ/mol of formula units.

It has space group Amm2 (No. 38), with a = 11.113 Å, b = 3.209 Å, c = 5.497 Å, α = 90.00°, β = 90.00° and γ = 90.00°. Symmetry generates all atoms from Ti at (0.000, 0.000, 0.000), Ti at (0.500, 0.000, 0.305), Tc at (0.183, 0.000, 0.293) and Se at (0.341, 0.000, 0.963).



19.
# ZrTe2Rh

A relaxed ZrTe2Rh crystal (GGA-PBE, Alexandria).

For the distance to the lowest polymorph of the same formula, the calculation gives 600.7 meV/atom. The value obtained for the uncorrected formation energy is -47 kJ/mol of formula units.

It has space group R-3m (No. 166, hexagonal axes), with a = 3.5748 Å, b = 3.5748 Å, c = 27.4122 Å, α = 90.00°, β = 90.00° and γ = 120.00°. Symmetry generates all atoms from Zr at (0.0000, 0.0000, 0.0000), Te at (0.0000, 0.0000, 0.4073) and Rh at (0.0000, 0.0000, 0.5000).



20.
# Rb4GeTe4

A relaxed Rb4GeTe4 crystal (GGA-PBE, Alexandria).

The value obtained for the uncorrected formation energy is -621 kJ/mol of formula units.

It has space group I-42m (No. 121), with a = 8.557 Å, b = 8.557 Å, c = 14.272 Å, α = 90.00°, β = 90.00° and γ = 90.00°. Symmetry generates all atoms from Rb at (0.000, 0.000, 0.191), Rb at (0.000, 0.500, 0.000), Ge at (0.000, 0.000, 0.500) and Te at (0.176, 0.176, 0.389).



21.
# Y3Tm4Ir4

A relaxed Y3Tm4Ir4 crystal (GGA-PBE, Alexandria).

As for the calculated formation energy: -723 meV per atom.

It has space group Immm (No. 71), with a = 3.857 Å, b = 8.564 Å, c = 15.699 Å, α = 90.00°, β = 90.00° and γ = 90.00°. Symmetry generates all atoms from Y at (0.000, 0.000, 0.000), Y at (0.000, 0.500, 0.102), Tm at (0.000, 0.309, 0.333), Ir at (0.000, 0.000, 0.245) and Ir at (0.000, 0.211, 0.500).



22.
# LuAl4In

A relaxed LuAl4In crystal (GGA-PBE, Alexandria).

As for the calculated formation energy: -160 meV per atom.

It has space group F-43m (No. 216), with a = 7.807 Å, b = 7.807 Å, c = 7.807 Å, α = 90.00°, β = 90.00° and γ = 90.00°. Symmetry generates all atoms from Lu at (0.000, 0.000, 0.000), Al at (0.126, 0.126, 0.374) and In at (0.250, 0.250, 0.750).



23.
# MgSc2Ga

A relaxed MgSc2Ga crystal (GGA-PBE, Alexandria).

As for the calculated formation energy: 2 meV per atom.

It has space group R-3m (No. 166, hexagonal axes), with a = 3.2286 Å, b = 3.2286 Å, c = 31.4442 Å, α = 90.00°, β = 90.00° and γ = 120.00°. Symmetry generates all atoms from Mg at (0.0000, 0.0000, 0.0000), Sc at (0.0000, 0.0000, 0.0991) and Ga at (0.0000, 0.0000, 0.5000).



24.
# AcLa4Y15

A relaxed AcLa4Y15 crystal (GGA-PBE, Alexandria).

As for the calculated formation energy: 36 meV per atom.

It has space group P4/mmm (No. 123), with a = 5.155 Å, b = 5.155 Å, c = 25.484 Å, α = 90.00°, β = 90.00° and γ = 90.00°. Symmetry generates all atoms from Ac at (0.000, 0.000, 0.000), La at (0.000, 0.000, 0.202), La at (0.000, 0.000, 0.401), Y at (0.000, 0.500, 0.103), Y at (0.000, 0.500, 0.301), Y at (0.000, 0.500, 0.500), Y at (0.500, 0.500, 0.000), Y at (0.500, 0.500, 0.202) and Y at (0.500, 0.500, 0.401).



no.,uncorrected energy (eV per cell)
1,-110.9
2,-90.4
3,-46.8
4,-47.2
5,-111.2
6,-142.0
7,-82.6
8,-50.9
9,-31.2
10,-40.4
11,-49.6
12,-70.1
13,-43.2
14,-135.3
15,-23.8
16,-91.9
17,-103.5
18,-90.0
19,-68.0
20,-55.0
21,-161.3
22,-92.8
23,-51.8
24,-120.0